Material: BaTbEuBiO6
Method: DFT, PBE
State: relaxed

Values from the calculation:
- symmetry = No. 216
- energy relative to the elements, uncorrected (meV per atom) = -2329
- E above lowest polymorph (meV/atom) = 94

Cell: 6.140 6.140 6.140 Å, 60.00 60.00 60.00°
Positions (direct):
1 Ba 0.000 0.000 0.000
2 Tb 0.250 0.250 0.250
3 Eu 0.500 0.500 0.500
4 Bi 0.750 0.750 0.750
5 O 0.506 0.506 0.994
6 O 0.506 0.994 0.506
7 O 0.506 0.994 0.994
8 O 0.994 0.506 0.506
9 O 0.994 0.506 0.994
10 O 0.994 0.994 0.506



Material: Zr2BeAg
Method: DFT, PBE
State: relaxed

Values from the calculation:
- symmetry = No. 123
- ΔH_f (0 K) (eV/atom) = 0.085

Cell: 4.299 4.299 3.976 Å, 90.00 90.00 90.00°
Positions (direct):
1 Zr 0.000 0.500 0.000
2 Zr 0.500 0.000 0.000
3 Be 0.000 0.000 0.500
4 Ag 0.500 0.500 0.500



Material: Dy2YSn9
Method: DFT, PBE
State: relaxed

Values from the calculation:
- symmetry = No. 123
- ΔH_f (0 K) (eV/atom) = -0.424

Cell: 4.796 4.796 13.688 Å, 90.00 90.00 90.00°
Positions (direct):
1 Dy 0.000 0.000 0.166
2 Dy 0.000 0.000 0.834
3 Y 0.000 0.000 0.500
4 Sn 0.000 0.500 0.000
5 Sn 0.000 0.500 0.333
6 Sn 0.000 0.500 0.667
7 Sn 0.500 0.000 0.000
8 Sn 0.500 0.000 0.333
9 Sn 0.500 0.000 0.667
10 Sn 0.500 0.500 0.166
11 Sn 0.500 0.500 0.500
12 Sn 0.500 0.500 0.834



Material: Dy6YTm2Sc3
Method: DFT, PBE
State: relaxed

Values from the calculation:
- symmetry = No. 12
- ΔH_f (0 K) (eV/atom) = 0.045

Cell: 6.021 6.021 11.415 Å, 95.04 95.04 119.95°
Positions (direct):
1 Dy 0.080 0.414 0.242
2 Dy 0.252 0.252 0.758
3 Dy 0.414 0.080 0.242
4 Dy 0.586 0.920 0.758
5 Dy 0.748 0.748 0.242
6 Dy 0.920 0.586 0.758
7 Y 0.500 0.500 0.500
8 Tm 0.167 0.833 0.500
9 Tm 0.833 0.167 0.500
10 Sc 0.000 0.000 0.000
11 Sc 0.333 0.667 0.000
12 Sc 0.667 0.333 0.000



Material: Pr2GeO5
Method: DFT, PBE
State: relaxed

Values from the calculation:
- symmetry = No. 14
- energy relative to the elements, uncorrected (meV per atom) = -2808
- E above lowest polymorph (meV/atom) = 0

Cell: 9.642 7.368 7.110 Å, 90.00 106.49 90.00°
Positions (direct):
1 Pr 0.026 0.126 0.233
2 Pr 0.026 0.374 0.733
3 Pr 0.374 0.138 0.065
4 Pr 0.374 0.362 0.565
5 Pr 0.626 0.638 0.435
6 Pr 0.626 0.862 0.935
7 Pr 0.974 0.626 0.267
8 Pr 0.974 0.874 0.767
9 Ge 0.300 0.590 0.031
10 Ge 0.300 0.910 0.531
11 Ge 0.700 0.090 0.469
12 Ge 0.700 0.410 0.969
13 O 0.111 0.633 0.990
14 O 0.111 0.867 0.490
15 O 0.113 0.118 0.943
16 O 0.113 0.382 0.443
17 O 0.289 0.081 0.344
18 O 0.289 0.419 0.844
19 O 0.384 0.050 0.734
20 O 0.384 0.450 0.234
21 O 0.395 0.714 0.516
22 O 0.395 0.786 0.016
23 O 0.605 0.214 0.984
24 O 0.605 0.286 0.484
25 O 0.616 0.550 0.766
26 O 0.616 0.950 0.266
27 O 0.711 0.581 0.156
28 O 0.711 0.919 0.656
29 O 0.887 0.618 0.557
30 O 0.887 0.882 0.057
31 O 0.889 0.133 0.510
32 O 0.889 0.367 0.010



Material: BaTbAl2
Method: DFT, PBE
State: relaxed

Values from the calculation:
- symmetry = No. 123
- ΔH_f (0 K) (eV/atom) = -0.216

Cell: 3.861 3.861 7.811 Å, 90.00 90.00 90.00°
Positions (direct):
1 Ba 0.000 0.000 0.000
2 Tb 0.000 0.000 0.500
3 Al 0.500 0.500 0.306
4 Al 0.500 0.500 0.694



Material: LaZrTiIr2
Method: DFT, PBE
State: relaxed

Values from the calculation:
- symmetry = No. 119
- ΔH_f (0 K) (eV/atom) = -0.753

Cell: 6.339 6.339 6.339 Å, 139.01 139.01 59.36°
Positions (direct):
1 La 0.000 0.000 0.000
2 Zr 0.750 0.250 0.500
3 Ti 0.250 0.750 0.500
4 Ir 0.380 0.380 0.000
5 Ir 0.620 0.620 0.000



Material: Tb2TmCl
Method: DFT, PBE
State: relaxed

Values from the calculation:
- symmetry = No. 166
- energy relative to the elements, uncorrected (meV per atom) = -648

Cell: 10.172 10.172 10.172 Å, 20.32 20.32 20.32°
Positions (direct):
1 Tb 0.240 0.240 0.240
2 Tb 0.760 0.760 0.760
3 Tm 0.000 0.000 0.000
4 Cl 0.500 0.500 0.500



Please write out number 8 again, unchanged.
Material: Tb2TmCl
Method: DFT, PBE
State: relaxed

Values from the calculation:
- symmetry = No. 166
- energy relative to the elements, uncorrected (meV per atom) = -648

Cell: 10.172 10.172 10.172 Å, 20.32 20.32 20.32°
Positions (direct):
1 Tb 0.240 0.240 0.240
2 Tb 0.760 0.760 0.760
3 Tm 0.000 0.000 0.000
4 Cl 0.500 0.500 0.500



Question: Which formula does entry 8 have?
Answer: Tb2TmCl